(1)
A plane-wave DFT calculation with GGA-PBEsol was carried out for a relaxed structure of LiAg.

Calculated values
DFT total energy = -2.78 eV/atom
DOS at the Fermi energy = 1.48 states/eV per cell
symmetry = No. 194
magnetic moment = 0.00 Bohr magnetons per cell

Cell lengths 2.8830, 2.8830, 8.7062 Å; angles 90.00, 90.00, 120.00 degrees
Element x y z (fractional)
Ag: 0.6667 0.3333 0.7500
Ag: 0.3333 0.6667 0.2500
Li: 0.0000 0.0000 0.0000
Li: 0.0000 0.0000 0.5000


(2)
A plane-wave DFT calculation with GGA-PBEsol was carried out for a relaxed structure of Eu2CuTe4.

Calculated values
DFT total energy = -6.69 eV/atom
DOS at the Fermi energy = 19.64 states/eV per cell
symmetry = No. 115
raw formation energy = -1041 meV per atom
magnetic moment = 13.49 Bohr magnetons per cell

Cell lengths 4.4251, 4.4251, 9.6078 Å; angles 90.00, 90.00, 90.00 degrees
Element x y z (fractional)
Eu: 0.0000 0.5000 0.2613
Eu: 0.5000 0.0000 0.7387
Cu: 0.5000 0.5000 0.5000
Te: 0.5000 0.0000 0.3573
Te: 0.0000 0.5000 0.6427
Te: 0.5000 0.5000 0.0000
Te: 0.0000 0.0000 0.0000


(3)
A plane-wave DFT calculation with GGA-PBEsol was carried out for a relaxed structure of DyRh2.

Calculated values
DFT total energy = -7.83 eV/atom
DOS at the Fermi energy = 2.88 states/eV per cell
symmetry = No. 227
magnetic moment = 0.00 Bohr magnetons per cell

Cell lengths 5.2469, 5.2469, 5.2469 Å; angles 60.00, 60.00, 60.00 degrees
Element x y z (fractional)
Dy: 0.2500 0.2500 0.2500
Dy: 0.0000 0.0000 0.0000
Rh: 0.6250 0.1250 0.6250
Rh: 0.6250 0.6250 0.1250
Rh: 0.1250 0.6250 0.6250
Rh: 0.6250 0.6250 0.6250


(4)
A plane-wave DFT calculation with GGA-PBEsol was carried out for a relaxed structure of LiPdI2O.

Calculated values
DFT total energy = -3.74 eV/atom
DOS at the Fermi energy = 1.76 states/eV per cell
symmetry = No. 123
raw formation energy = -402 meV per atom
magnetic moment = 0.99 Bohr magnetons per cell

Cell lengths 3.8542, 5.5356, 5.5356 Å; angles 90.00, 90.00, 90.00 degrees
Element x y z (fractional)
I: 0.0000 0.0000 0.5000
I: 0.0000 0.5000 0.0000
O: 0.5000 0.0000 0.0000
Pd: 0.0000 0.0000 0.0000
Li: 0.5000 0.5000 0.5000


(5)
A plane-wave DFT calculation with GGA-PBEsol was carried out for a relaxed structure of Li2La2Au.

Calculated values
DFT total energy = -3.87 eV/atom
DOS at the Fermi energy = 5.22 states/eV per cell
symmetry = No. 139
magnetic moment = 0.00 Bohr magnetons per cell

Cell lengths 3.6559, 3.6559, 10.0912 Å; angles 100.44, 100.44, 90.00 degrees
Element x y z (fractional)
Li: 0.2500 0.7500 0.5000
Li: 0.7500 0.2500 0.5000
Au: 0.0000 0.0000 0.0000
La: 0.4068 0.4068 0.8136
La: 0.5932 0.5932 0.1864


(6)
A plane-wave DFT calculation with GGA-PBEsol was carried out for a relaxed structure of ZrSbMo2.

Calculated values
DFT total energy = -9.17 eV/atom
DOS at the Fermi energy = 3.27 states/eV per cell
symmetry = No. 216
raw formation energy = 121 meV per atom
magnetic moment = 0.00 Bohr magnetons per cell

Cell lengths 4.6401, 4.6401, 4.6401 Å; angles 60.00, 60.00, 60.00 degrees
Element x y z (fractional)
Mo: 0.0000 0.0000 0.0000
Mo: 0.7500 0.7500 0.7500
Sb: 0.5000 0.5000 0.5000
Zr: 0.2500 0.2500 0.2500


(7)
A plane-wave DFT calculation with GGA-PBEsol was carried out for a relaxed structure of BaSb2S4.

Calculated values
DFT total energy = -4.98 eV/atom
symmetry = No. 14
raw formation energy = -864 meV per atom
magnetic moment = 0.00 Bohr magnetons per cell

Cell lengths 8.1929, 8.8124, 20.2641 Å; angles 101.02, 90.00, 90.00 degrees
Element x y z (fractional)
Ba: 0.5502 0.5198 0.2979
Ba: 0.0502 0.4802 0.2021
Ba: 0.4498 0.4802 0.7021
Ba: 0.9498 0.5198 0.7979
Ba: 0.9526 0.0216 0.8076
Ba: 0.4526 0.9784 0.6924
Ba: 0.0474 0.9784 0.1924
Ba: 0.5474 0.0216 0.3076
Sb: 0.5009 0.8412 0.8881
Sb: 0.0009 0.1588 0.6119
Sb: 0.4991 0.1588 0.1119
Sb: 0.9991 0.8412 0.3881
Sb: 0.7953 0.4165 0.0278
Sb: 0.2953 0.5835 0.4722
Sb: 0.2047 0.5835 0.9722
Sb: 0.7047 0.4165 0.5278
Sb: 0.8412 0.8599 0.0093
Sb: 0.3412 0.1401 0.4907
Sb: 0.1588 0.1401 0.9907
Sb: 0.6588 0.8599 0.5093
Sb: 0.5251 0.3035 0.8800
Sb: 0.0251 0.6965 0.6200
Sb: 0.4749 0.6965 0.1200
Sb: 0.9749 0.3035 0.3800
S: 0.6481 0.6530 0.9658
S: 0.1481 0.3470 0.5342
S: 0.3519 0.3470 0.0342
S: 0.8519 0.6530 0.4658
S: 0.3384 0.5049 0.8500
S: 0.8384 0.4951 0.6500
S: 0.6616 0.4951 0.1500
S: 0.1616 0.5049 0.3500
S: 0.1752 0.7439 0.7280
S: 0.6752 0.2561 0.7720
S: 0.8248 0.2561 0.2720
S: 0.3248 0.7439 0.2280
S: 0.8403 0.9211 0.6508
S: 0.3403 0.0789 0.8492
S: 0.1597 0.0789 0.3492
S: 0.6597 0.9211 0.1508
S: 0.1555 0.2321 0.7165
S: 0.6555 0.7679 0.7835
S: 0.8445 0.7679 0.2835
S: 0.3445 0.2321 0.2165
S: 0.9905 0.6315 0.0745
S: 0.4905 0.3685 0.4255
S: 0.0095 0.3685 0.9255
S: 0.5095 0.6315 0.5745
S: 0.7967 0.0440 0.4415
S: 0.2967 0.9560 0.0585
S: 0.2033 0.9560 0.5585
S: 0.7033 0.0440 0.9415
S: 0.5528 0.2149 0.5833
S: 0.0528 0.7851 0.9167
S: 0.4472 0.7851 0.4167
S: 0.9472 0.2149 0.0833


(8)
A plane-wave DFT calculation with GGA-PBEsol was carried out for a relaxed structure of ZrAlMo.

Calculated values
DFT total energy = -8.65 eV/atom
DOS at the Fermi energy = 10.37 states/eV per cell
symmetry = No. 38
magnetic moment = 0.00 Bohr magnetons per cell

Cell lengths 5.2428, 5.2555, 8.7674 Å; angles 90.00, 90.00, 119.92 degrees
Element x y z (fractional)
Mo: 0.1671 0.3342 0.0000
Mo: 0.8315 0.1760 0.5000
Mo: 0.3446 0.1760 0.5000
Mo: 0.8325 0.6651 0.5000
Al: 0.0035 0.0071 0.7507
Al: 0.0035 0.0071 0.2493
Al: 0.1677 0.8257 0.0000
Al: 0.6580 0.8257 0.0000
Zr: 0.6649 0.3299 0.8139
Zr: 0.3308 0.6615 0.6849
Zr: 0.3308 0.6615 0.3151
Zr: 0.6649 0.3299 0.1861


(9)
A plane-wave DFT calculation with GGA-PBEsol was carried out for a relaxed structure of Li3AlMo2As2O14.

Calculated values
DFT total energy = -7.28 eV/atom
DOS at the Fermi energy = 0.00 states/eV per cell
symmetry = No. 2
raw formation energy = -1953 meV per atom
magnetic moment = 0.00 Bohr magnetons per cell

Cell lengths 5.1835, 5.4165, 9.4266 Å; angles 96.58, 101.80, 106.47 degrees
Element x y z (fractional)
Li: 0.1861 0.3829 0.8170
Li: 0.8139 0.6171 0.1830
Li: 0.0000 0.5000 0.5000
Al: 0.5000 0.0000 0.0000
Mo: 0.4960 0.8371 0.3543
Mo: 0.5040 0.1629 0.6457
As: 0.1554 0.2253 0.1755
As: 0.8446 0.7747 0.8245
O: 0.5559 0.7029 0.8930
O: 0.1266 0.8062 0.9633
O: 0.4441 0.2971 0.1070
O: 0.3222 0.8361 0.5366
O: 0.5577 0.8660 0.1771
O: 0.8734 0.1938 0.0367
O: 0.1574 0.5044 0.2905
O: 0.8659 0.0246 0.7292
O: 0.2808 0.3341 0.5922
O: 0.8426 0.4956 0.7095
O: 0.4423 0.1340 0.8229
O: 0.7192 0.6659 0.4078
O: 0.6778 0.1639 0.4634
O: 0.1341 0.9754 0.2708


(10)
A plane-wave DFT calculation with GGA-PBEsol was carried out for a relaxed structure of InTeAs2Pd.

Calculated values
DFT total energy = -4.18 eV/atom
DOS at the Fermi energy = 5.76 states/eV per cell
symmetry = No. 123
raw formation energy = 361 meV per atom
magnetic moment = 0.00 Bohr magnetons per cell

Cell lengths 4.7664, 4.7664, 5.5329 Å; angles 90.00, 90.00, 90.00 degrees
Element x y z (fractional)
As: 0.0000 0.5000 0.0000
As: 0.5000 0.0000 0.0000
Te: 0.0000 0.0000 0.5000
Pd: 0.0000 0.0000 0.0000
In: 0.5000 0.5000 0.5000


(11)
A plane-wave DFT calculation with GGA-PBEsol was carried out for a relaxed structure of Ca2RhSe.

Calculated values
DFT total energy = -4.89 eV/atom
DOS at the Fermi energy = 1.31 states/eV per cell
symmetry = No. 65
raw formation energy = -829 meV per atom
magnetic moment = 0.00 Bohr magnetons per cell

Cell lengths 3.5273, 4.8546, 4.8546 Å; angles 97.19, 90.00, 90.00 degrees
Element x y z (fractional)
Ca: 0.0000 0.0000 0.5000
Ca: 0.0000 0.5000 0.0000
Rh: 0.5000 0.0000 0.0000
Se: 0.5000 0.5000 0.5000


(12)
A plane-wave DFT calculation with GGA-PBEsol was carried out for a relaxed structure of CaCr2Pt.

Calculated values
DFT total energy = -6.92 eV/atom
DOS at the Fermi energy = 6.20 states/eV per cell
symmetry = No. 225
magnetic moment = 7.87 Bohr magnetons per cell

Cell lengths 4.5907, 4.5907, 4.5907 Å; angles 60.00, 60.00, 60.00 degrees
Element x y z (fractional)
Cr: 0.2500 0.2500 0.2500
Cr: 0.7500 0.7500 0.7500
Ca: 0.0000 0.0000 0.0000
Pt: 0.5000 0.5000 0.5000


(13)
A plane-wave DFT calculation with GGA-PBEsol was carried out for a relaxed structure of BaCuRh2.

Calculated values
DFT total energy = -5.69 eV/atom
DOS at the Fermi energy = 4.99 states/eV per cell
offset from the most stable computed form = 19 meV/atom
symmetry = No. 12
magnetic moment = 0.00 Bohr magnetons per cell

Cell lengths 4.3430, 4.3430, 6.0200 Å; angles 68.77, 68.77, 60.01 degrees
Element x y z (fractional)
Rh: 0.3199 0.3199 0.5403
Rh: 0.6801 0.6801 0.4597
Ba: 0.5000 0.5000 0.0000
Cu: 0.0000 0.0000 0.5000


(14)
A plane-wave DFT calculation with GGA-PBEsol was carried out for a relaxed structure of HfInN2F.

Calculated values
DFT total energy = -6.44 eV/atom
DOS at the Fermi energy = 0.74 states/eV per cell
symmetry = No. 123
raw formation energy = 57 meV per atom
magnetic moment = 0.00 Bohr magnetons per cell

Cell lengths 3.8924, 4.1630, 4.1630 Å; angles 90.00, 90.00, 90.00 degrees
Element x y z (fractional)
N: 0.0000 0.0000 0.5000
N: 0.0000 0.5000 0.0000
F: 0.5000 0.0000 0.0000
Hf: 0.5000 0.5000 0.5000
In: 0.0000 0.0000 0.0000


(15)
A plane-wave DFT calculation with GGA-PBEsol was carried out for a relaxed structure of Mg2ReSiI.

Calculated values
DFT total energy = -3.07 eV/atom
DOS at the Fermi energy = 5.23 states/eV per cell
symmetry = No. 123
raw formation energy = 1783 meV per atom
magnetic moment = 0.00 Bohr magnetons per cell

Cell lengths 4.8448, 5.2157, 5.2157 Å; angles 90.00, 90.00, 90.00 degrees
Element x y z (fractional)
I: 0.0000 0.0000 0.0000
Re: 0.5000 0.0000 0.0000
Si: 0.5000 0.5000 0.5000
Mg: 0.0000 0.0000 0.5000
Mg: 0.0000 0.5000 0.0000


(16)
A plane-wave DFT calculation with GGA-PBEsol was carried out for a relaxed structure of Ca2BeW.

Calculated values
DFT total energy = -4.50 eV/atom
DOS at the Fermi energy = 2.57 states/eV per cell
symmetry = No. 166
magnetic moment = 0.00 Bohr magnetons per cell

Cell lengths 3.0460, 3.0460, 10.1949 Å; angles 81.41, 81.41, 60.00 degrees
Element x y z (fractional)
Be: 0.0000 0.0000 0.0000
Ca: 0.2520 0.2520 0.2441
Ca: 0.7480 0.7480 0.7559
W: 0.5000 0.5000 0.5000


(17)
A plane-wave DFT calculation with GGA-PBEsol was carried out for a relaxed structure of Ba2SrCa.

Calculated values
DFT total energy = -2.05 eV/atom
DOS at the Fermi energy = 4.97 states/eV per cell
offset from the most stable computed form = 2 meV/atom
symmetry = No. 6
magnetic moment = 0.00 Bohr magnetons per cell

Cell lengths 4.0564, 6.6366, 7.7354 Å; angles 90.00, 99.93, 90.00 degrees
Element x y z (fractional)
Sr: 0.2610 0.5000 0.7456
Ca: 0.4918 0.0000 0.5000
Ba: 0.9925 0.0000 0.9985
Ba: 0.7548 0.5000 0.2559


(18)
A plane-wave DFT calculation with GGA-PBEsol was carried out for a relaxed structure of TlBPb3.

Calculated values
DFT total energy = -3.73 eV/atom
DOS at the Fermi energy = 2.54 states/eV per cell
symmetry = No. 221
magnetic moment = 0.00 Bohr magnetons per cell

Cell lengths 5.0776, 5.0776, 5.0776 Å; angles 90.00, 90.00, 90.00 degrees
Element x y z (fractional)
Pb: 0.0000 0.5000 0.0000
Pb: 0.0000 0.0000 0.5000
Pb: 0.5000 0.0000 0.0000
Tl: 0.5000 0.5000 0.5000
B: 0.0000 0.0000 0.0000


(19)
A plane-wave DFT calculation with GGA-PBEsol was carried out for a relaxed structure of Be2CdSi.

Calculated values
DFT total energy = -3.16 eV/atom
DOS at the Fermi energy = 1.40 states/eV per cell
symmetry = No. 71
raw formation energy = 575 meV per atom
magnetic moment = 0.00 Bohr magnetons per cell

Cell lengths 2.6188, 5.0669, 5.0669 Å; angles 64.71, 75.02, 75.02 degrees
Element x y z (fractional)
Be: 0.2667 0.7333 0.7333
Be: 0.7333 0.2667 0.2667
Si: 0.0000 0.5000 0.5000
Cd: 0.5000 0.0000 0.0000


(20)
A plane-wave DFT calculation with GGA-PBEsol was carried out for a relaxed structure of Ce2SO2.

Calculated values
DFT total energy = -8.65 eV/atom
DOS at the Fermi energy = 7.48 states/eV per cell
symmetry = No. 164
raw formation energy = -3034 meV per atom
magnetic moment = 2.02 Bohr magnetons per cell

Cell lengths 3.8976, 3.8976, 6.6776 Å; angles 90.00, 90.00, 120.00 degrees
Element x y z (fractional)
S: 0.0000 0.0000 0.0000
O: 0.6667 0.3333 0.3710
O: 0.3333 0.6667 0.6290
Ce: 0.3333 0.6667 0.2786
Ce: 0.6667 0.3333 0.7214


(21)
A plane-wave DFT calculation with GGA-PBEsol was carried out for a relaxed structure of BaIr2Os.

Calculated values
DFT total energy = -7.21 eV/atom
DOS at the Fermi energy = 6.17 states/eV per cell
offset from the most stable computed form = 1087 meV/atom
symmetry = No. 47
magnetic moment = 1.48 Bohr magnetons per cell

Cell lengths 2.8699, 4.9897, 5.1136 Å; angles 90.00, 90.00, 90.00 degrees
Element x y z (fractional)
Ir: 0.0000 0.0000 0.0000
Ir: 0.5000 0.0000 0.5000
Os: 0.5000 0.5000 0.0000
Ba: 0.0000 0.5000 0.5000


(22)
A plane-wave DFT calculation with GGA-PBEsol was carried out for a relaxed structure of BaNbAl2Se.

Calculated values
DFT total energy = -3.23 eV/atom
DOS at the Fermi energy = 5.67 states/eV per cell
symmetry = No. 123
raw formation energy = 1772 meV per atom
magnetic moment = 4.02 Bohr magnetons per cell

Cell lengths 5.6745, 5.6745, 5.7205 Å; angles 90.00, 90.00, 90.00 degrees
Element x y z (fractional)
Nb: 0.5000 0.5000 0.5000
Ba: 0.0000 0.0000 0.0000
Se: 0.0000 0.0000 0.5000
Al: 0.0000 0.5000 0.0000
Al: 0.5000 0.0000 0.0000


(23)
A plane-wave DFT calculation with GGA-PBEsol was carried out for a relaxed structure of NdCu2Ge2.

Calculated values
DFT total energy = -5.33 eV/atom
DOS at the Fermi energy = 1.24 states/eV per cell
symmetry = No. 139
magnetic moment = 0.00 Bohr magnetons per cell

Cell lengths 4.1004, 4.1004, 5.8164 Å; angles 110.64, 110.64, 90.00 degrees
Element x y z (fractional)
Ge: 0.3766 0.3766 0.7531
Ge: 0.6234 0.6234 0.2469
Nd: 0.0000 0.0000 0.0000
Cu: 0.7500 0.2500 0.5000
Cu: 0.2500 0.7500 0.5000


(24)
A plane-wave DFT calculation with GGA-PBEsol was carried out for a relaxed structure of SrSbCl2.

Calculated values
DFT total energy = -3.81 eV/atom
DOS at the Fermi energy = 1.54 states/eV per cell
offset from the most stable computed form = 97 meV/atom
symmetry = No. 44
raw formation energy = -1203 meV per atom
magnetic moment = 0.00 Bohr magnetons per cell

Cell lengths 3.5717, 4.7199, 6.7734 Å; angles 110.39, 105.29, 90.00 degrees
Element x y z (fractional)
Sb: 0.5172 0.5172 0.0344
Cl: 0.9698 0.9698 0.9395
Cl: 0.7392 0.2392 0.4784
Sr: 0.2738 0.7738 0.5477


(25)
A plane-wave DFT calculation with GGA-PBEsol was carried out for a relaxed structure of K2CaBe.

Calculated values
DFT total energy = -1.33 eV/atom
DOS at the Fermi energy = 3.32 states/eV per cell
symmetry = No. 65
magnetic moment = 0.00 Bohr magnetons per cell

Cell lengths 4.0993, 6.6645, 6.6645 Å; angles 118.44, 90.00, 90.00 degrees
Element x y z (fractional)
Be: 0.5000 0.0000 0.0000
Ca: 0.5000 0.5000 0.5000
K: 0.0000 0.5000 0.0000
K: 0.0000 0.0000 0.5000